{
  "formula": "TiBi2Os",
  "functional": "PBE",
  "state": "optimized geometry",
  "lattice": [[-2.2045, 2.2045, 9.5422], [2.2045, -2.2045, 9.5422], [2.2045, 2.2045, -9.5422]],
  "species": ["Ti", "Ti", "Bi", "Bi", "Bi", "Bi", "Os", "Os"],
  "fractional_positions": [[0.0000, 0.0000, 0.0000], [0.7500, 0.2500, 0.5000], [0.1305, 0.6250, 0.0055], [0.3750, 0.3805, 0.5055], [0.6195, 0.1250, 0.9945], [0.8750, 0.8695, 0.4945], [0.2500, 0.7500, 0.5000], [0.5000, 0.5000, 0.0000]],
  "volume_a3_per_cell": 185.5,
  "final_energy_ev_per_atom": -5.96,
  "ef_ev_per_atom": 0.7642,
  "mass_density_g_cm3": 11.75
}